The following is a GGA-PBE calculation of a relaxed structure of La2Er2Se2S3, from Alexandria via LeMat-Bulk.

Fermi-level density of states	11.27	states/eV/cell
energy relative to the elements, uncorrected	-15.46	eV/f.u.
spin magnetization	0.0	μB/cell

```
data_La2Er2Se2S3
_chemical_formula_sum 'La4 Er4 Se4 S6'
_cell_length_a 5.066
_cell_length_b 5.066
_cell_length_c 18.641
_cell_angle_alpha 90.00
_cell_angle_beta 90.00
_cell_angle_gamma 90.00
_space_group_name_H-M_alt 'I 4/m m m'
_space_group_IT_number 139
_space_group_name_Hall '-I 4 2'
loop_
_atom_site_label
_atom_site_type_symbol
_atom_site_fract_x
_atom_site_fract_y
_atom_site_fract_z
_atom_site_occupancy
La1 La 0.000 0.000 0.181 1
Er1 Er 0.000 0.500 0.000 1
Se1 Se 0.000 0.000 0.406 1
S1 S 0.000 0.000 0.000 1
S2 S 0.000 0.500 0.250 1
```